[1]
YTcSe2 | PBE | relaxed

Output
magnetic moment = 0.000 μB per atom
formation energy without anion corrections = -0.566 eV/atom
distance to the lowest polymorph of the same formula = 244 meV/atom
theoretical density = 7.56 g/cm3

abc: 6.7165 6.7165 6.7165
angles: 90.00 90.00 90.00
Space group Fm-3m (No. 225)
Asymmetric unit:
1 Y 0.0000 0.0000 0.0000 [4 per cell]
2 Tc 0.0000 0.0000 0.5000 [4 per cell]
3 Se 0.2500 0.2500 0.2500 [8 per cell]



[2]
AgTeCl2 | PBE | relaxed

Output
magnetic moment = 0.000 μB per atom
formation energy without anion corrections = 0.239 eV/atom
distance to the lowest polymorph of the same formula = 581 meV/atom
theoretical density = 5.52 g/cm3

abc: 4.5854 4.5854 8.7639
angles: 90.00 90.00 90.00
Space group I4/mmm (No. 139)
Asymmetric unit:
1 Ag 0.0000 0.0000 0.0000 [2 per cell]
2 Te 0.0000 0.0000 0.5000 [2 per cell]
3 Cl 0.0000 0.5000 0.2500 [4 per cell]



[3]
BaIrOs | PBE | relaxed

Output
magnetic moment = 0.000 μB per atom
calculated formation energy = 1.20 eV per atom
distance to the lowest polymorph of the same formula = 1042 meV/atom
theoretical density = 13.98 g/cm3

abc: 2.9991 2.9991 7.9259
angles: 90.00 90.00 120.00
Space group P3m1 (No. 156)
Asymmetric unit:
1 Ba 0.0000 0.0000 0.0000 [1 per cell]
2 Ir 0.6667 0.3333 0.3752 [1 per cell]
3 Os 0.3333 0.6667 0.6233 [1 per cell]



[4]
PmThAlTl | PBE | relaxed

Output
magnetic moment = 0.000 μB per atom
calculated formation energy = -0.20 eV per atom
theoretical density = 9.07 g/cm3

abc: 7.6366 7.6366 7.6366
angles: 90.00 90.00 90.00
Space group F-43m (No. 216)
Asymmetric unit:
1 Pm 0.0000 0.0000 0.0000 [4 per cell]
2 Th 0.0000 0.0000 0.5000 [4 per cell]
3 Al 0.2500 0.2500 0.7500 [4 per cell]
4 Tl 0.2500 0.2500 0.2500 [4 per cell]



[5]
CeNd6SmY2 | PBE | relaxed

Output
magnetic moment = 0.132 μB per atom
calculated formation energy = 0.24 eV per atom
theoretical density = 6.35 g/cm3

abc: 11.3892 7.0416 8.9462
angles: 90.00 103.42 90.00
Space group C2/m (No. 12)
Asymmetric unit:
1 Ce 0.0000 0.0000 0.0000 [2 per cell]
2 Nd 0.1291 0.0000 0.4176 [4 per cell]
3 Nd 0.1692 0.2650 0.7986 [8 per cell]
4 Sm 0.0000 0.5000 0.5000 [2 per cell]
5 Y 0.0937 0.5000 0.1616 [4 per cell]



[6]
Si2OsPdC | PBE | relaxed

Output
magnetic moment = 0.000 μB per atom
formation energy without anion corrections = 0.662 eV/atom
theoretical density = 9.14 g/cm3

abc: 4.1261 4.1261 3.8928
angles: 90.00 90.00 90.00
Space group P4/mmm (No. 123)
Asymmetric unit:
1 Si 0.0000 0.5000 0.0000 [2 per cell]
2 Os 0.0000 0.0000 0.5000 [1 per cell]
3 Pd 0.5000 0.5000 0.5000 [1 per cell]
4 C 0.0000 0.0000 0.0000 [1 per cell]



[7]
MgFe2Ni | PBE | relaxed

Output
magnetic moment = 1.294 μB per atom
calculated formation energy = 0.11 eV per atom
theoretical density = 6.38 g/cm3

abc: 5.8732 5.8732 5.8732
angles: 90.00 90.00 90.00
Space group F-43m (No. 216)
Asymmetric unit:
1 Mg 0.0000 0.0000 0.0000 [4 per cell]
2 Fe 0.0000 0.0000 0.5000 [4 per cell]
3 Fe 0.2500 0.2500 0.7500 [4 per cell]
4 Ni 0.2500 0.2500 0.2500 [4 per cell]



[8]
CaTbH2 | PBE | relaxed

Output
magnetic moment = 0.000 μB per atom
distance to the lowest polymorph of the same formula = 0 meV/atom
theoretical density = 4.90 g/cm3

abc: 3.6492 3.6492 17.7305
angles: 90.00 90.00 120.00
Space group R-3m (No. 166, hexagonal axes)
Asymmetric unit:
1 Ca 0.0000 0.0000 0.0000 [3 per cell]
2 Tb 0.0000 0.0000 0.5000 [3 per cell]
3 H 0.0000 0.0000 0.2208 [6 per cell]



[9]
CrNiOs2 | PBE | relaxed

Output
magnetic moment = 0.000 μB per atom
calculated formation energy = 0.14 eV per atom
distance to the lowest polymorph of the same formula = 66 meV/atom
theoretical density = 15.80 g/cm3

abc: 5.3110 7.2109 2.6957
angles: 90.00 90.00 90.00
Space group Cmmm (No. 65)
Asymmetric unit:
1 Cr 0.0000 0.0000 0.0000 [2 per cell]
2 Ni 0.0000 0.5000 0.0000 [2 per cell]
3 Os 0.2500 0.2500 0.5000 [4 per cell]



[10]
AlCu3N | PBE | relaxed

Output
magnetic moment = 0.400 μB per atom
formation energy without anion corrections = 1.735 eV/atom
distance to the lowest polymorph of the same formula = 1382 meV/atom
theoretical density = 4.14 g/cm3

abc: 4.5283 4.5283 4.5283
angles: 90.00 90.00 90.00
Space group Pm-3m (No. 221)
Asymmetric unit:
1 Al 0.0000 0.0000 0.0000 [1 per cell]
2 Cu 0.0000 0.0000 0.5000 [3 per cell]
3 N 0.5000 0.5000 0.5000 [1 per cell]



[11]
LaHSe | PBE | relaxed

Output
magnetic moment = 0.000 μB per atom
total DFT energy (no corrections) = -62.29 eV per cell
theoretical density = 5.54 g/cm3

abc: 15.9734 4.0302 4.0980
angles: 90.00 95.78 90.00
Space group Cm (No. 8)
Asymmetric unit:
1 La 0.0000 0.0000 0.0000 [2 per cell]
2 La 0.2270 0.0000 0.6103 [2 per cell]
3 H 0.0746 0.0000 0.5336 [2 per cell]
4 H 0.4981 0.0000 0.7371 [2 per cell]
5 Se 0.1590 0.5000 0.0892 [2 per cell]
6 Se 0.3631 0.0000 0.1665 [2 per cell]



[12]
ThGeRu2 | PBE | relaxed

Output
magnetic moment = 0.000 μB per atom
calculated formation energy = -0.14 eV per atom
theoretical density = 10.06 g/cm3

abc: 4.2832 4.0843 4.7908
angles: 90.00 93.50 90.00
Space group P2/m (No. 10)
Asymmetric unit:
1 Th 0.0000 0.0000 0.0000 [1 per cell]
2 Ge 0.5000 0.0000 0.5000 [1 per cell]
3 Ru 0.3747 0.5000 0.7575 [2 per cell]



[13]
ZrTaPt2 | PBE | relaxed

Output
magnetic moment = 0.000 μB per atom
calculated formation energy = -0.64 eV per atom
theoretical density = 15.70 g/cm3

abc: 5.6782 5.6894 8.6745
angles: 90.00 90.00 90.00
Space group F222 (No. 22)
Asymmetric unit:
1 Zr 0.0000 0.0000 0.0000 [4 per cell]
2 Ta 0.2500 0.2500 0.7500 [4 per cell]
3 Pt 0.0000 0.0000 0.5000 [4 per cell]
4 Pt 0.2500 0.2500 0.2500 [4 per cell]



[14]
La2Tb8Nd3 | PBE | relaxed

Output
magnetic moment = 0.000 μB per atom
calculated formation energy = 0.24 eV per atom
distance to the lowest polymorph of the same formula = 222 meV/atom
theoretical density = 7.19 g/cm3

abc: 21.0220 7.7350 5.6290
angles: 90.00 90.03 90.00
Space group C2/m (No. 12)
Asymmetric unit:
1 La 0.2418 0.0000 0.4989 [4 per cell]
2 Tb 0.1062 0.2891 0.5002 [8 per cell]
3 Tb 0.1282 0.0000 0.9997 [4 per cell]
4 Tb 0.1617 0.5000 0.0007 [4 per cell]
5 Nd 0.0000 0.0000 0.5000 [2 per cell]
6 Nd 0.0000 0.2938 0.0000 [4 per cell]



[15]
Na2Tl4Zn | PBE | relaxed

Output
magnetic moment = 0.000 μB per atom
calculated formation energy = 0.11 eV per atom
distance to the lowest polymorph of the same formula = 115 meV/atom
theoretical density = 6.39 g/cm3

abc: 6.2084 15.4584 5.0340
angles: 90.00 90.00 90.00
Space group Cmmm (No. 65)
Asymmetric unit:
1 Na 0.0000 0.1377 0.0000 [4 per cell]
2 Tl 0.0000 0.2860 0.5000 [4 per cell]
3 Tl 0.0000 0.4012 0.0000 [4 per cell]
4 Zn 0.0000 0.5000 0.5000 [2 per cell]



[16]
ZrH12Rh7 | PBE | relaxed

Output
magnetic moment = 0.000 μB per atom
total DFT energy (no corrections) = -305.60 eV per cell
theoretical density = 8.29 g/cm3

abc: 9.4814 9.4814 6.3612
angles: 90.00 90.00 120.00
Space group R-3 (No. 148, hexagonal axes)
Asymmetric unit:
1 Zr 0.0000 0.0000 0.0000 [3 per cell]
2 H 0.0013 0.2570 0.1202 [18 per cell]
3 H 0.0129 0.8590 0.3167 [18 per cell]
4 Rh 0.0000 0.0000 0.5000 [3 per cell]
5 Rh 0.0202 0.5655 0.7963 [18 per cell]



[17]
NaCe2PaS4 | PBE | relaxed

Output
magnetic moment = 0.279 μB per atom
formation energy without anion corrections = -1.735 eV/atom
theoretical density = 6.14 g/cm3

abc: 6.8701 3.9680 6.9621
angles: 90.00 109.35 90.00
Space group P2/m (No. 10)
Asymmetric unit:
1 Na 0.0000 0.0000 0.0000 [1 per cell]
2 Ce 0.5000 0.0000 0.5000 [1 per cell]
3 Ce 0.5000 0.5000 0.0000 [1 per cell]
4 Pa 0.0000 0.5000 0.5000 [1 per cell]
5 S 0.2403 0.0000 0.7465 [2 per cell]
6 S 0.2423 0.5000 0.2525 [2 per cell]



[18]
Sm5Al6 | PBE | relaxed

Output
magnetic moment = 0.000 μB per atom
calculated formation energy = -0.30 eV per atom
theoretical density = 5.48 g/cm3

abc: 5.9551 7.3675 6.5051
angles: 90.00 103.86 90.00
Space group P2/m (No. 10)
Asymmetric unit:
1 Sm 0.0000 0.0000 0.0000 [1 per cell]
2 Sm 0.1917 0.5000 0.7719 [2 per cell]
3 Sm 0.2687 0.0000 0.5861 [2 per cell]
4 Al 0.3181 0.3201 0.3025 [4 per cell]
5 Al 0.5000 0.1812 0.0000 [2 per cell]



[19]
Rb3Ce2ZnSe6 | PBE | relaxed

Output
magnetic moment = 0.085 μB per atom
formation energy without anion corrections = -1.351 eV/atom
theoretical density = 4.75 g/cm3

abc: 7.3908 12.7846 8.3345
angles: 90.00 107.22 90.00
Space group C2/m (No. 12)
Asymmetric unit:
1 Rb 0.0000 0.0000 0.0000 [2 per cell]
2 Rb 0.0000 0.3330 0.0000 [4 per cell]
3 Ce 0.0000 0.1666 0.5000 [4 per cell]
4 Zn 0.0000 0.5000 0.5000 [2 per cell]
5 Se 0.2250 0.3391 0.6919 [8 per cell]
6 Se 0.2410 0.0000 0.6928 [4 per cell]



[20]
SnBrNF2 | PBE | relaxed

Output
magnetic moment = 0.000 μB per atom
formation energy without anion corrections = 0.180 eV/atom
distance to the lowest polymorph of the same formula = 682 meV/atom
theoretical density = 4.58 g/cm3

abc: 4.9455 4.9455 3.7171
angles: 90.00 90.00 90.00
Space group P4/mmm (No. 123)
Asymmetric unit:
1 Sn 0.0000 0.0000 0.0000 [1 per cell]
2 Br 0.5000 0.5000 0.5000 [1 per cell]
3 N 0.5000 0.5000 0.0000 [1 per cell]
4 F 0.0000 0.5000 0.5000 [2 per cell]